(1)
# CeThBi (PBE-GGA, relaxed)
data_CeThBi
_chemical_formula_sum 'Ce1 Th1 Bi1'
_cell_length_a 5.5611
_cell_length_b 5.5611
_cell_length_c 3.5105
_cell_angle_alpha 90.00
_cell_angle_beta 90.00
_cell_angle_gamma 120.00
_space_group_name_H-M_alt 'P 3 m 1'
_space_group_IT_number 156
_space_group_name_Hall 'P 3 -2"'
loop_
_atom_site_label
_atom_site_type_symbol
_atom_site_fract_x
_atom_site_fract_y
_atom_site_fract_z
Ce1 Ce 0.0000 0.0000 0.0000
Th1 Th 0.6667 0.3333 0.4558
Bi1 Bi 0.3333 0.6667 0.7169
# Total DFT energy (no corrections) (eV per cell): -17.52
# Energy of formation (eV/atom): -0.094
# D(E_F) (states/eV per cell): 7.4
# Crystal system: trigonal

(2)
# BCS3 (PBE-GGA, relaxed)
data_BCS3
_chemical_formula_sum 'B1 C1 S3'
_cell_length_a 4.051
_cell_length_b 4.051
_cell_length_c 4.051
_cell_angle_alpha 90.00
_cell_angle_beta 90.00
_cell_angle_gamma 90.00
_space_group_name_H-M_alt 'P m -3 m'
_space_group_IT_number 221
_space_group_name_Hall '-P 4 2 3'
loop_
_atom_site_label
_atom_site_type_symbol
_atom_site_fract_x
_atom_site_fract_y
_atom_site_fract_z
B1 B 0.000 0.000 0.000
C1 C 0.500 0.500 0.500
S1 S 0.000 0.500 0.500
# Total DFT energy (no corrections) (eV per cell): -18.56
# D(E_F) (states/eV per cell): 3.9
# E_form (uncorrected) (eV/atom): 1.9455
# Crystal system: cubic

(3)
# MgOs2 (PBE-GGA, relaxed)
data_MgOs2
_chemical_formula_sum 'Mg4 Os8'
_cell_length_a 2.816
_cell_length_b 14.496
_cell_length_c 4.478
_cell_angle_alpha 90.00
_cell_angle_beta 90.00
_cell_angle_gamma 90.00
_space_group_name_H-M_alt 'C m c m'
_space_group_IT_number 63
_space_group_name_Hall '-C 2c 2'
loop_
_atom_site_label
_atom_site_type_symbol
_atom_site_fract_x
_atom_site_fract_y
_atom_site_fract_z
Mg1 Mg 0.000 0.222 0.250
Os1 Os 0.000 0.102 0.750
Os2 Os 0.000 0.447 0.750
# Total DFT energy (no corrections) (eV per cell): -93.87
# Energy of formation (eV/atom): 0.196
# D(E_F) (states/eV per cell): 10.6
# Crystal system: orthorhombic

Per-record total magnetic moment, μB/f.u.: 1.56; 0.00; 0.00